Pr2HfZrPt2: optimized geometry, PBE-GGA.

Unit cell a=6.6614 b=13.8012 c=6.6581 alpha=90.00 beta=90.00 gamma=90.00
Last column: nearest neighbours and their distance in Å.
Space group Ibam (No. 72)
Inequivalent atoms, fractional coordinates:
Pr  0.2455  0.1886  0.0000  1 Pt 2.95
Hf  0.0000  0.0000  0.2500  4 Pt 2.69
Zr  0.0000  0.5000  0.2500  4 Pt 2.73
Pt  0.2452  0.0977  0.5000  2 Hf 2.69, 2 Zr 2.73, 1 Pr 2.95

Final energy (eV/cell): -180.31
Theoretical density (g/cm³): 10.219


PrPuHf: optimized geometry, PBE-GGA.

Unit cell a=3.2992 b=3.2992 c=30.6684 alpha=90.00 beta=90.00 gamma=90.00
Last column: nearest neighbours and their distance in Å.
Space group I4/mmm (No. 139)
Inequivalent atoms, fractional coordinates:
Pr  0.0000  0.0000  0.0576  5 Pr 3.30-3.54, 4 Pu 3.50
Pu  0.0000  0.0000  0.3572  4 Hf 3.24, 4 Pu 3.30, 4 Pr 3.50
Hf  0.0000  0.0000  0.2160  8 Hf 3.13-3.30, 4 Pu 3.24

Final energy (eV/cell): -113.58
E above lowest polymorph (eV/f.u.): 0.01
Theoretical density (g/cm³): 11.210


PrPuHf: optimized geometry, PBE-GGA.

Unit cell a=3.3352 b=3.3352 c=14.7979 alpha=90.00 beta=90.00 gamma=90.00
Last column: nearest neighbours and their distance in Å.
Space group I4mm (No. 107)
Inequivalent atoms, fractional coordinates:
Pr  0.0000  0.0000  0.0000  4 Pr 3.34, 4 Hf 3.45, 4 Pu 3.60
Pu  0.0000  0.0000  0.3159  4 Hf 3.19, 4 Pu 3.34
Hf  0.0000  0.0000  0.6705  4 Pu 3.19, 4 Hf 3.34, 4 Pr 3.45

Final energy (eV/cell): -56.80
E above lowest polymorph (eV/f.u.): 0.00
Theoretical density (g/cm³): 11.367


Rb3Pr2HfS6: optimized geometry, PBE-GGA.

Unit cell a=7.0788 b=12.2615 c=8.0748 alpha=90.00 beta=107.09 gamma=90.00
Last column: nearest neighbours and their distance in Å.
Space group C2/m (No. 12)
Inequivalent atoms, fractional coordinates:
Rb  0.0000  0.0000  0.0000  6 S 3.27-3.49
Rb  0.0000  0.3289  0.0000  6 S 3.28-3.45
Pr  0.0000  0.1663  0.5000  6 S 2.89
Hf  0.0000  0.5000  0.5000  6 S 2.63
S  0.2172  0.3477  0.6941  1 Hf 2.63, 2 Pr 2.89
S  0.2388  0.5000  0.3048  1 Hf 2.63, 2 Pr 2.89

Final energy (eV/cell): -134.16
Formation energy without anion corrections (eV per atom): -1.66
Theoretical density (g/cm³): 4.507